No. 1
First-principles (GGA-PBE) data for Cs3ZnGa4 after structural relaxation, as listed in the Alexandria database. Values from VASP.

Quantum ESPRESSO input file:
```
&SYSTEM
  ibrav = 0, nat = 16, ntyp = 3
/
ATOMIC_SPECIES
Cs 132.91 Cs.upf
Ga 69.72 Ga.upf
Zn 65.41 Zn.upf
CELL_PARAMETERS angstrom
-1.8400 5.1708 3.6272
-3.9010 -4.2992 4.1499
10.7434 -1.8888 8.1424
ATOMIC_POSITIONS crystal
Cs 0.5905 0.0000 0.0000
Ga 0.9518 0.8181 0.5000
Ga 0.6362 0.0000 0.6021
Cs 0.1778 0.0000 0.2276
Ga 0.3638 0.5000 0.1021
Ga 0.9518 0.1819 0.5000
Cs 0.8222 0.5000 0.7276
Ga 0.0482 0.6819 0.0000
Ga 0.6362 0.0000 0.3979
Cs 0.8222 0.5000 0.2724
Cs 0.4095 0.5000 0.5000
Zn 0.3023 0.0000 0.5000
Cs 0.1778 0.0000 0.7724
Ga 0.3638 0.5000 0.8979
Ga 0.0482 0.3181 0.0000
Zn 0.6977 0.5000 0.0000
```

Computed properties:
ΔH_f (0 K)   5 meV/atom
Calculated volume   639 Å³ per cell
Total energy   -1.99 eV per atom

No. 2
First-principles (GGA-PBE) data for LiZn2Sb after structural relaxation, as listed in the Alexandria database. Values from VASP.

Quantum ESPRESSO input file:
```
&SYSTEM
  ibrav = 0, nat = 4, ntyp = 3
/
ATOMIC_SPECIES
Zn 65.41 Zn.upf
Li 6.94 Li.upf
Sb 121.76 Sb.upf
CELL_PARAMETERS angstrom
3.0660 0.0000 0.0000
0.0000 3.0660 0.0000
0.0000 0.0000 8.3356
ATOMIC_POSITIONS crystal
Zn 0.0000 0.0000 0.0335
Li 0.5000 0.5000 0.2500
Zn 0.0000 0.0000 0.4665
Sb 0.5000 0.5000 0.7500
```

Computed properties:
Uncorrected formation energy   0.033 eV per atom
Calculated volume   78 Å³ per cell
Total energy   -2.11 eV per atom

No. 3
First-principles (GGA-PBE) data for AcPaN after structural relaxation, as listed in the Alexandria database. Values from VASP.

Quantum ESPRESSO input file:
```
&SYSTEM
  ibrav = 0, nat = 6, ntyp = 3
/
ATOMIC_SPECIES
Pa 231.04 Pa.upf
N 14.01 N.upf
Ac 227.00 Ac.upf
CELL_PARAMETERS angstrom
-4.4453 1.7613 -2.9568
1.7778 -1.4932 -3.5621
-0.7091 -6.6656 2.4401
ATOMIC_POSITIONS crystal
Pa 0.0756 0.7500 0.1513
N 0.1256 0.2500 0.2511
Pa 0.9244 0.2500 0.8487
Ac 0.3654 0.7500 0.7308
N 0.8744 0.7500 0.7489
Ac 0.6346 0.2500 0.2692
```

Computed properties:
Uncorrected formation energy   -0.469 eV per atom
Calculated volume   157 Å³ per cell
Energy above the most stable polymorph in this dataset   145 meV per atom
Total energy   -7.78 eV per atom

No. 4
First-principles (GGA-PBE) data for TmZrCo2 after structural relaxation, as listed in the Alexandria database. Values from VASP.

Quantum ESPRESSO input file:
```
&SYSTEM
  ibrav = 0, nat = 4, ntyp = 3
/
ATOMIC_SPECIES
Co 58.93 Co.upf
Zr 91.22 Zr.upf
Tm 168.93 Tm.upf
CELL_PARAMETERS angstrom
-1.0876 4.4447 0.3308
-3.7791 1.2742 2.2676
0.3624 2.1562 4.0332
ATOMIC_POSITIONS crystal
Co 0.2500 0.2500 0.2500
Co 0.7500 0.7500 0.7500
Zr 0.0000 0.0000 0.0000
Tm 0.5000 0.5000 0.5000
```

Computed properties:
ΔH_f (0 K)   -249 meV/atom
Calculated volume   68 Å³ per cell
Energy above the most stable polymorph in this dataset   30 meV per atom
Total energy   -7.06 eV per atom

No. 5
First-principles (GGA-PBE) data for LiCuNO2 after structural relaxation, as listed in the Alexandria database. Values from VASP.

Quantum ESPRESSO input file:
```
&SYSTEM
  ibrav = 0, nat = 5, ntyp = 4
/
ATOMIC_SPECIES
O 16.00 O.upf
N 14.01 N.upf
Cu 63.55 Cu.upf
Li 6.94 Li.upf
CELL_PARAMETERS angstrom
-0.5268 2.9743 2.4431
-3.8490 -0.4202 -0.3184
0.0188 -2.2653 2.7619
ATOMIC_POSITIONS crystal
O 0.0000 0.5000 0.0000
N 0.0000 0.0000 0.5000
Cu 0.0000 0.0000 0.0000
Li 0.5000 0.5000 0.5000
O 0.5000 0.0000 0.0000
```

Computed properties:
Uncorrected formation energy   0.397 eV per atom
Calculated volume   54 Å³ per cell
Total energy   -4.45 eV per atom

No. 6
First-principles (GGA-PBE) data for Ac2CdAg3 after structural relaxation, as listed in the Alexandria database. Values from VASP.

Quantum ESPRESSO input file:
```
&SYSTEM
  ibrav = 0, nat = 6, ntyp = 3
/
ATOMIC_SPECIES
Ac 227.00 Ac.upf
Ag 107.87 Ag.upf
Cd 112.41 Cd.upf
CELL_PARAMETERS angstrom
-0.7657 -4.2482 0.5603
3.2896 -0.2033 2.9540
-7.0819 4.1470 4.8564
ATOMIC_POSITIONS crystal
Ac 0.8649 0.3649 0.7298
Ag 0.5485 0.5485 0.0971
Ag 0.2972 0.7972 0.5943
Cd 0.4571 0.9571 0.9142
Ag 0.7034 0.7034 0.4067
Ac 0.1289 0.1289 0.2579
```

Computed properties:
ΔH_f (0 K)   -268 meV/atom
Calculated volume   174 Å³ per cell
Energy above the most stable polymorph in this dataset   36 meV per atom
Total energy   -3.22 eV per atom

No. 7
First-principles (GGA-PBE) data for ZnC3Cl after structural relaxation, as listed in the Alexandria database. Values from VASP.

Quantum ESPRESSO input file:
```
&SYSTEM
  ibrav = 0, nat = 5, ntyp = 3
/
ATOMIC_SPECIES
Zn 65.41 Zn.upf
C 12.01 C.upf
Cl 35.45 Cl.upf
CELL_PARAMETERS angstrom
-3.7160 -0.8168 -0.6739
0.9706 -1.6442 -3.3592
0.4234 -3.3998 1.7865
ATOMIC_POSITIONS crystal
Zn 0.5000 0.5000 0.5000
C 0.5000 0.0000 0.0000
C 0.0000 0.0000 0.5000
Cl 0.0000 0.0000 0.0000
C 0.0000 0.5000 0.0000
```

Computed properties:
Uncorrected formation energy   3.395 eV per atom
Calculated volume   58 Å³ per cell
Energy above the most stable polymorph in this dataset   230 meV per atom
Total energy   -2.76 eV per atom

No. 8
First-principles (GGA-PBE) data for CsCuRhBr6 after structural relaxation, as listed in the Alexandria database. Values from VASP.

Quantum ESPRESSO input file:
```
&SYSTEM
  ibrav = 0, nat = 9, ntyp = 4
/
ATOMIC_SPECIES
Cs 132.91 Cs.upf
Br 79.90 Br.upf
Rh 102.91 Rh.upf
Cu 63.55 Cu.upf
CELL_PARAMETERS angstrom
6.6769 0.0009 0.0003
3.3392 5.7818 -0.0003
0.0006 -0.0010 8.2694
ATOMIC_POSITIONS crystal
Cs 0.9999 0.0000 0.0000
Br 0.3717 0.9889 0.6726
Rh 0.6666 0.6667 0.5000
Br 0.6394 0.9889 0.3275
Cu 0.3333 0.3333 0.5000
Br 0.3717 0.6395 0.3275
Br 0.6395 0.3717 0.6725
Br 0.9888 0.3717 0.3274
Br 0.9889 0.6394 0.6724
```

Computed properties:
Uncorrected formation energy   -0.643 eV per atom
Calculated volume   319 Å³ per cell
Total energy   -3.13 eV per atom

No. 9
First-principles (GGA-PBE) data for Ta2ZnP after structural relaxation, as listed in the Alexandria database. Values from VASP.

Quantum ESPRESSO input file:
```
&SYSTEM
  ibrav = 0, nat = 4, ntyp = 3
/
ATOMIC_SPECIES
P 30.97 P.upf
Ta 180.95 Ta.upf
Zn 65.41 Zn.upf
CELL_PARAMETERS angstrom
-0.2629 2.8975 0.4973
-2.2238 -1.1605 1.5556
4.5309 -0.6212 6.0138
ATOMIC_POSITIONS crystal
P 0.5000 0.5000 0.0000
Ta 0.0000 0.0000 0.2240
Ta 0.0000 0.0000 0.7760
Zn 0.5000 0.5000 0.5000
```

Computed properties:
ΔH_f (0 K)   -123 meV/atom
Calculated volume   64 Å³ per cell
Total energy   -7.72 eV per atom

No. 10
First-principles (GGA-PBE) data for Pu3ZrP4 after structural relaxation, as listed in the Alexandria database. Values from VASP.

Quantum ESPRESSO input file:
```
&SYSTEM
  ibrav = 0, nat = 8, ntyp = 3
/
ATOMIC_SPECIES
Pu 244.00 Pu.upf
P 30.97 P.upf
Zr 91.22 Zr.upf
CELL_PARAMETERS angstrom
3.9185 0.0000 0.0000
0.0000 6.7827 -0.0566
0.0000 -2.1922 6.4189
ATOMIC_POSITIONS crystal
Pu 0.0000 0.0000 0.5000
P 0.0000 0.7592 0.7592
Zr 0.5000 0.0000 0.0000
P 0.5000 0.2428 0.7572
P 0.5000 0.7572 0.2428
Pu 0.5000 0.5000 0.5000
Pu 0.0000 0.5000 0.0000
P 0.0000 0.2408 0.2408
```

Computed properties:
ΔH_f (0 K)   -1221 meV/atom
Calculated volume   170 Å³ per cell
Total energy   -10.37 eV per atom

No. 11
First-principles (GGA-PBE) data for CsBi2N after structural relaxation, as listed in the Alexandria database. Values from VASP.

Quantum ESPRESSO input file:
```
&SYSTEM
  ibrav = 0, nat = 8, ntyp = 3
/
ATOMIC_SPECIES
Cs 132.91 Cs.upf
N 14.01 N.upf
Bi 208.98 Bi.upf
CELL_PARAMETERS angstrom
-0.9622 -2.0128 7.2922
-1.9556 -7.0349 -2.1999
3.7489 -6.0543 2.8109
ATOMIC_POSITIONS crystal
Cs 0.0000 0.0000 0.0000
Cs 0.7500 0.2500 0.5000
N 0.2500 0.7500 0.5000
Bi 0.3754 0.6250 0.2500
Bi 0.3750 0.6254 0.7500
N 0.5000 0.5000 0.0000
Bi 0.3746 0.1250 0.2500
Bi 0.8750 0.6246 0.7500
```

Computed properties:
Uncorrected formation energy   0.526 eV per atom
Calculated volume   316 Å³ per cell
Total energy   -3.71 eV per atom

No. 12
First-principles (GGA-PBE) data for FePb3Se after structural relaxation, as listed in the Alexandria database. Values from VASP.

Quantum ESPRESSO input file:
```
&SYSTEM
  ibrav = 0, nat = 5, ntyp = 3
/
ATOMIC_SPECIES
Se 78.96 Se.upf
Fe 55.84 Fe.upf
Pb 207.20 Pb.upf
CELL_PARAMETERS angstrom
5.0693 0.0000 0.0000
0.0000 5.0693 0.0000
0.0000 0.0000 5.0693
ATOMIC_POSITIONS crystal
Se 0.5000 0.5000 0.5000
Fe 0.0000 0.0000 0.0000
Pb 0.0000 0.5000 0.0000
Pb 0.0000 0.0000 0.5000
Pb 0.5000 0.0000 0.0000
```

Computed properties:
Uncorrected formation energy   0.055 eV per atom
Calculated volume   130 Å³ per cell
Energy above the most stable polymorph in this dataset   0 meV per atom
Total energy   -4.56 eV per atom

No. 13
First-principles (GGA-PBE) data for Hf2AgRh after structural relaxation, as listed in the Alexandria database. Values from VASP.

Quantum ESPRESSO input file:
```
&SYSTEM
  ibrav = 0, nat = 8, ntyp = 3
/
ATOMIC_SPECIES
Hf 178.49 Hf.upf
Rh 102.91 Rh.upf
Ag 107.87 Ag.upf
CELL_PARAMETERS angstrom
-5.3588 3.4451 -3.8967
-5.1806 -3.0374 4.4391
-5.0916 2.4692 2.0291
ATOMIC_POSITIONS crystal
Hf 0.8750 0.8417 0.7500
Rh 0.2500 0.7500 0.5000
Hf 0.5917 0.1250 0.2500
Hf 0.3750 0.4083 0.7500
Rh 0.5000 0.5000 0.0000
Hf 0.1583 0.6250 0.2500
Ag 0.0000 0.0000 0.0000
Ag 0.7500 0.2500 0.5000
```

Computed properties:
ΔH_f (0 K)   -13 meV/atom
Calculated volume   160 Å³ per cell
Total energy   -7.54 eV per atom

Computed values of M_tot (unit: μB per atom) for the preceding records, in sequence: 0.00 0.00 0.15 0.31 0.07 0.00 0.00 0.12 0.00 0.60 0.00 0.00 0.00.